Crystalline MnZnClO2 at its relaxed geometry. Source: Alexandria via LeMat-Bulk, functional PBE with a Hubbard U.

abc: 6.454 3.656 7.662
angles: 90.00 92.08 90.00
Space group P2_1/m (No. 11)
Unique sites:
Mn 0.006 0.250 0.352
Zn 0.184 0.750 0.036
Cl 0.368 0.750 0.789
O 0.072 0.750 0.401
O 0.110 0.250 0.120

---

Crystalline Mn2ZnClO3 at its relaxed geometry. Source: Alexandria via LeMat-Bulk, functional PBE with a Hubbard U.

abc: 6.2758 6.2758 16.6694
angles: 90.00 90.00 120.00
Space group R-3m (No. 166, hexagonal axes)
Unique sites:
Mn 0.0000 0.0000 0.0000
Mn 0.0000 0.5000 0.5000
Zn 0.0000 0.0000 0.4190
Cl 0.0000 0.0000 0.2776
O 0.0351 0.5175 0.7691

## Properties
DOS at the Fermi energy, states/eV per cell: 9.6

---

| no. | final energy (eV per atom) |
| --- | --- |
| 1 | -5.44 |
| 2 | -6.12 |